(1)
DFT (PBE) results for a geometry-optimized Dy12Ho7Pu structure.

```
Dy12Ho7Pu
1.0
8.6430 0.4982 0.7478
-1.9247 8.4407 0.7478
-1.9247 -2.5609 8.0775
Dy Ho Pu
12 7 1
Direct
0.3538 0.3538 0.0864 Dy
0.6462 0.6462 0.9136 Dy
0.9136 0.6462 0.6462 Dy
0.2396 0.7604 0.5000 Dy
0.3538 0.0864 0.3538 Dy
0.0864 0.3538 0.3538 Dy
0.7604 0.5000 0.2396 Dy
0.2396 0.5000 0.7604 Dy
0.6462 0.9136 0.6462 Dy
0.5000 0.7604 0.2396 Dy
0.5000 0.2396 0.7604 Dy
0.7604 0.2396 0.5000 Dy
0.3347 0.8993 0.8993 Ho
0.1007 0.6653 0.1007 Ho
0.1007 0.1007 0.6653 Ho
0.6653 0.1007 0.1007 Ho
0.5000 0.5000 0.5000 Ho
0.8993 0.3347 0.8993 Ho
0.8993 0.8993 0.3347 Ho
0.0000 0.0000 0.0000 Pu
```

- DOS(E_F): 1.81 states/eV per atom
- Energy above the lowest structure with this stoichiometry: 0.000 eV per atom
- SG: R-3m (166)
- Calculated formation energy: 0.11 eV/atom

---

(2)
DFT (PBE) results for a geometry-optimized DyHo2Pu structure.

```
DyHo2Pu
1.0
-2.0475 -1.7359 -2.1335
1.3150 -1.5298 -2.7728
1.6074 -11.2244 4.8346
Ho Dy Pu
2 1 1
Direct
0.0888 0.0888 0.7335 Ho
0.9112 0.9112 0.2665 Ho
0.5000 0.5000 0.5000 Dy
0.0000 0.0000 0.0000 Pu
```

- DOS(E_F): 2.93 states/eV per atom
- Energy above the lowest structure with this stoichiometry: 0.168 eV per atom
- SG: R-3m (166)
- Calculated formation energy: 0.26 eV/atom

---

(3)
DFT (PBE) results for a geometry-optimized Dy3Ho4Pu structure.

```
Dy3Ho4Pu
1.0
-2.1191 -0.5917 2.5983
-5.5706 -7.7938 -6.3181
7.7431 -0.3354 4.0080
Ho Dy Pu
4 3 1
Direct
0.6321 0.8841 0.2642 Ho
0.3679 0.1159 0.7358 Ho
0.6321 0.3801 0.2642 Ho
0.3679 0.6199 0.7358 Ho
0.7631 0.7631 0.5262 Dy
0.2369 0.2369 0.4738 Dy
0.0000 0.5000 0.0000 Dy
0.5000 0.0000 0.0000 Pu
```

- DOS(E_F): 2.15 states/eV per atom
- Energy above the lowest structure with this stoichiometry: 0.103 eV per atom
- SG: Immm (71)
- Calculated formation energy: 0.15 eV/atom

---

In eV/atom, the total DFT energy (no corrections) values for the records above are, in order, -4.969 -6.763 -5.655.